{
  "formula": "TaCrOsSe2",
  "functional": "GGA-PBE",
  "state": "relaxed",
  "lattice": [[-4.337, -1.217, -1.564], [1.410, -4.723, -0.235], [-1.438, -0.654, 4.499]],
  "species": ["Se", "Cr", "Os", "Ta", "Se"],
  "fractional_positions": [[0.500, 0.000, 0.000], [0.500, 0.500, 0.500], [0.000, 0.000, 0.000], [0.000, 0.500, 0.000], [0.000, 0.000, 0.500]],
  "spacegroup": "P4/mmm",
  "m_tot_mub_per_fu": 0.05,
  "dft_energy_ev_per_atom": -6.29
}